Record 1
RuI2Cl8 | PBE | relaxed

Cell: 8.663 8.663 7.428 Å, 109.15 109.15 48.14°
Fractional coordinates of all 11 atoms:
1 Ru 0.000 0.000 0.000
2 I 0.250 0.250 0.464
3 I 0.750 0.750 0.536
4 Cl 0.068 0.068 0.345
5 Cl 0.128 0.672 0.018
6 Cl 0.328 0.872 0.982
7 Cl 0.411 0.411 0.571
8 Cl 0.589 0.589 0.429
9 Cl 0.672 0.128 0.018
10 Cl 0.872 0.328 0.982
11 Cl 0.932 0.932 0.655

* ρ: 2.74 g cm⁻³
* crystal system: monoclinic
* Fermi-level density of states: 1.2 states/eV/cell

=====

Record 2
Ru2ICl | PBE | relaxed

Cell: 4.594 4.594 4.594 Å, 60.00 60.00 60.00°
Fractional coordinates of all 4 atoms:
1 Ru 0.250 0.250 0.250
2 Ru 0.750 0.750 0.750
3 I 0.000 0.000 0.000
4 Cl 0.500 0.500 0.500

* ρ: 8.83 g cm⁻³
* crystal system: cubic
* Fermi-level density of states: 4.2 states/eV/cell

=====

Record 3
RuI3Cl | PBE | relaxed

Cell: 5.715 5.715 5.715 Å, 90.00 90.00 90.00°
Fractional coordinates of all 5 atoms:
1 Ru 0.000 0.000 0.000
2 I 0.000 0.500 0.500
3 I 0.500 0.000 0.500
4 I 0.500 0.500 0.000
5 Cl 0.500 0.500 0.500

* ρ: 4.60 g cm⁻³
* crystal system: cubic
* Fermi-level density of states: 6.0 states/eV/cell

=====

Record 4
Ru2I2Cl7 | PBE | relaxed

Cell: 6.477 6.477 9.600 Å, 94.17 94.17 68.46°
Fractional coordinates of all 11 atoms:
1 Ru 0.238 0.238 0.013
2 Ru 0.762 0.762 0.987
3 I 0.184 0.816 0.500
4 I 0.816 0.184 0.500
5 Cl 0.000 0.000 0.000
6 Cl 0.062 0.510 0.849
7 Cl 0.430 0.430 0.125
8 Cl 0.490 0.938 0.151
9 Cl 0.510 0.062 0.849
10 Cl 0.570 0.570 0.875
11 Cl 0.938 0.490 0.151

* ρ: 3.13 g cm⁻³
* crystal system: monoclinic
* Fermi-level density of states: 6.9 states/eV/cell

=====

Record 5
Ru3ICl | PBE | relaxed

Cell: 4.946 4.946 4.946 Å, 90.00 90.00 90.00°
Fractional coordinates of all 5 atoms:
1 Ru 0.000 0.000 0.500
2 Ru 0.000 0.500 0.000
3 Ru 0.500 0.000 0.000
4 I 0.000 0.000 0.000
5 Cl 0.500 0.500 0.500

* ρ: 6.39 g cm⁻³
* crystal system: cubic
* Fermi-level density of states: 4.7 states/eV/cell

=====

Record 6
Ru3ICl7 | PBE | relaxed

Cell: 7.238 7.238 8.741 Å, 126.05 126.05 61.18°
Fractional coordinates of all 11 atoms:
1 Ru 0.000 0.000 0.000
2 Ru 0.000 0.507 0.507
3 Ru 0.507 0.000 0.507
4 I 0.284 0.284 0.328
5 Cl 0.227 0.227 0.651
6 Cl 0.228 0.768 0.192
7 Cl 0.232 0.777 0.815
8 Cl 0.728 0.728 0.680
9 Cl 0.768 0.228 0.192
10 Cl 0.777 0.232 0.815
11 Cl 0.778 0.778 0.361

* ρ: 3.85 g cm⁻³
* crystal system: monoclinic
* Fermi-level density of states: 8.2 states/eV/cell

=====

Record 7
RuI3Cl | PBE | relaxed

Cell: 5.403 5.403 5.403 Å, 90.00 90.00 90.00°
Fractional coordinates of all 5 atoms:
1 Ru 0.000 0.000 0.000
2 I 0.000 0.000 0.500
3 I 0.000 0.500 0.000
4 I 0.500 0.000 0.000
5 Cl 0.500 0.500 0.500

* ρ: 5.44 g cm⁻³
* crystal system: cubic
* Fermi-level density of states: 8.1 states/eV/cell

=====

Record 8
RuI2Cl6 | PBE | relaxed

Cell: 11.130 11.130 8.402 Å, 108.97 108.97 82.17°
Fractional coordinates of all 18 atoms:
1 Ru 0.128 0.872 0.750
2 Ru 0.872 0.128 0.250
3 I 0.351 0.352 0.243
4 I 0.352 0.351 0.743
5 I 0.648 0.649 0.257
6 I 0.649 0.648 0.757
7 Cl 0.061 0.149 0.444
8 Cl 0.149 0.061 0.944
9 Cl 0.158 0.727 0.886
10 Cl 0.250 0.454 0.493
11 Cl 0.273 0.842 0.614
12 Cl 0.454 0.250 0.993
13 Cl 0.546 0.750 0.007
14 Cl 0.727 0.158 0.386
15 Cl 0.750 0.546 0.507
16 Cl 0.842 0.273 0.114
17 Cl 0.851 0.939 0.056
18 Cl 0.939 0.851 0.556

* ρ: 2.03 g cm⁻³
* crystal system: monoclinic

=====

Record 9
Ru2ICl8 | PBE | relaxed

Cell: 4.694 9.162 9.163 Å, 60.65 88.15 88.31°
Fractional coordinates of all 11 atoms:
1 Ru 0.220 0.169 0.167
2 Ru 0.780 0.831 0.833
3 I 0.000 0.500 0.500
4 Cl 0.198 0.313 0.310
5 Cl 0.224 0.893 0.299
6 Cl 0.226 0.300 0.891
7 Cl 0.287 0.803 0.807
8 Cl 0.713 0.197 0.193
9 Cl 0.774 0.700 0.109
10 Cl 0.776 0.107 0.701
11 Cl 0.802 0.687 0.690

* ρ: 2.96 g cm⁻³
* crystal system: triclinic
* Fermi-level density of states: 8.4 states/eV/cell

=====

Record 10
RuSICl2 | PBE | relaxed

Cell: 4.908 4.908 4.575 Å, 90.00 90.00 90.00°
Fractional coordinates of all 5 atoms:
1 Ru 0.000 0.000 0.000
2 S 0.000 0.000 0.500
3 I 0.500 0.500 0.500
4 Cl 0.000 0.500 0.000
5 Cl 0.500 0.000 0.000

* ρ: 4.99 g cm⁻³
* crystal system: tetragonal
* Fermi-level density of states: 5.4 states/eV/cell

=====

Record 11
RuSICl2 | PBE | relaxed

Cell: 5.451 5.451 5.175 Å, 90.00 90.00 90.00°
Fractional coordinates of all 5 atoms:
1 Ru 0.000 0.000 0.000
2 S 0.500 0.500 0.000
3 I 0.500 0.500 0.500
4 Cl 0.000 0.500 0.500
5 Cl 0.500 0.000 0.500

* ρ: 3.57 g cm⁻³
* crystal system: tetragonal
* Fermi-level density of states: 6.7 states/eV/cell

=====

Record 12
Si2RuICl | PBE | relaxed

Cell: 5.366 5.366 5.253 Å, 90.00 90.00 90.00°
Fractional coordinates of all 5 atoms:
1 Si 0.000 0.500 0.000
2 Si 0.500 0.000 0.000
3 Ru 0.000 0.000 0.500
4 I 0.500 0.500 0.000
5 Cl 0.500 0.500 0.500

* ρ: 3.51 g cm⁻³
* crystal system: tetragonal
* Fermi-level density of states: 4.0 states/eV/cell

=====

Record 13
SiRuI2Cl | PBE | relaxed

Cell: 5.421 5.421 4.605 Å, 90.00 90.00 90.00°
Fractional coordinates of all 5 atoms:
1 Si 0.000 0.000 0.000
2 Ru 0.500 0.500 0.500
3 I 0.000 0.500 0.500
4 I 0.500 0.000 0.500
5 Cl 0.500 0.500 0.000

* ρ: 5.13 g cm⁻³
* crystal system: tetragonal
* Fermi-level density of states: 4.4 states/eV/cell

=====

Number 1: total DFT energy (no corrections) -30.2 eV for the cell shown. Number 2: total DFT energy (no corrections) -18.2 eV for the cell shown. Number 3: total DFT energy (no corrections) -9.6 eV for the cell shown. Number 4: total DFT energy (no corrections) -37.2 eV for the cell shown. Number 5: total DFT energy (no corrections) -21.9 eV for the cell shown. Number 6: total DFT energy (no corrections) -46.9 eV for the cell shown. Number 7: total DFT energy (no corrections) -14.0 eV for the cell shown. Number 8: total DFT energy (no corrections) -50.8 eV for the cell shown. Number 9: total DFT energy (no corrections) -37.1 eV for the cell shown. Number 10: total DFT energy (no corrections) -17.8 eV for the cell shown. Number 11: total DFT energy (no corrections) -12.7 eV for the cell shown. Number 12: total DFT energy (no corrections) -13.8 eV for the cell shown. Number 13: total DFT energy (no corrections) -16.8 eV for the cell shown.